Entry 1:
DFT (PBE) results for a relaxed ScHg2Mo crystal.

```
4
Lattice="2.9866 0.0000 0.0000 0.0000 2.9866 0.0000 0.0000 0.0000 8.6898" Properties=species:S:1:pos:R:3 pbc="T T T"
Sc 0.0000 0.0000 0.0000
Hg 1.4933 1.4933 2.2050
Hg 1.4933 1.4933 6.4848
Mo 0.0000 0.0000 4.3449
```

Properties
M_tot: 0.38 μB/f.u.
D(E_F): 3.0 states/eV/cell
SG: No. 123
Polymorph energy (0 for the lowest one): 6.4 kJ per mole of atoms
Energy of formation: 0.188 eV per atom

=====

Entry 2:
DFT (PBE) results for a relaxed Mg4SnHg crystal.

```
6
Lattice="4.7851 0.0000 0.0000 0.0000 4.7851 0.0000 0.0000 0.0000 6.7001" Properties=species:S:1:pos:R:3 pbc="T T T"
Mg 0.0000 2.3926 1.6070
Mg 0.0000 2.3926 5.0931
Mg 2.3926 0.0000 1.6070
Mg 2.3926 0.0000 5.0931
Sn 0.0000 0.0000 3.3501
Hg 2.3926 2.3926 0.0000
```

Properties
M_tot: 0.00 μB/f.u.
D(E_F): 1.7 states/eV/cell
SG: No. 123
Polymorph energy (0 for the lowest one): 0.0 kJ per mole of atoms
Energy of formation: -0.153 eV per atom

=====

Which of these has the highest D(E_F)? ScHg2Mo

=====

Please write out number 1 again, unchanged.
DFT (PBE) results for a relaxed ScHg2Mo crystal.

```
4
Lattice="2.9866 0.0000 0.0000 0.0000 2.9866 0.0000 0.0000 0.0000 8.6898" Properties=species:S:1:pos:R:3 pbc="T T T"
Sc 0.0000 0.0000 0.0000
Hg 1.4933 1.4933 2.2050
Hg 1.4933 1.4933 6.4848
Mo 0.0000 0.0000 4.3449
```

Properties
M_tot: 0.38 μB/f.u.
D(E_F): 3.0 states/eV/cell
SG: No. 123
Polymorph energy (0 for the lowest one): 6.4 kJ per mole of atoms
Energy of formation: 0.188 eV per atom